VP2NO | PBE with a Hubbard U | relaxed

* final energy: -5.4590 eV per atom
* offset from the most stable computed form: 0 meV per atom
* DOS(E_F): 1.680 states/eV/f.u.
* magnetization: 1.6 μB per cell

extended XYZ file:
```
5
Lattice="3.835 0.000 0.000 0.000 3.835 0.000 0.000 0.000 4.033" Properties=species:S:1:pos:R:3 pbc="T T T"
P 1.917 0.000 0.000
O 0.000 0.000 2.017
P 0.000 1.917 0.000
N 0.000 0.000 0.000
V 1.917 1.917 2.017
```